VASP calculation (PBE-GGA) on NiSnPt after structural relaxation.

The structure belongs to space group P2_1/m (No. 11); the cell edges are 4.056, 3.854 and 6.287 Å and the angles 90.00°, 100.75° and 90.00°. Symmetry generates all atoms from Ni at (0.244, 0.250, 0.493), Sn at (0.332, 0.750, 0.776) and Pt at (0.163, 0.750, 0.172).

The calculation puts the mass density at 12.81 Mg/m³. For the formation enthalpy at 0 K, the calculation gives -0.321 eV/atom.

VASP calculation (PBE-GGA) on Ni2Sn6Pt after structural relaxation.

The structure belongs to space group P-31m (No. 162); the cell edges are 6.4113, 6.4113 and 5.8314 Å and the angles 90.00°, 90.00° and 120.00°. Symmetry generates all atoms from Ni at (0.3333, 0.6667, 0.0000), Sn at (0.0000, 0.3662, 0.2695) and Pt at (0.0000, 0.0000, 0.5000).

The calculation puts the mass density at 8.20 Mg/m³. For the formation enthalpy at 0 K, the calculation gives -0.181 eV/atom.

VASP calculation (PBE-GGA) on Ni5SnPt4 after structural relaxation.

The structure belongs to space group C2/m (No. 12); the cell edges are 13.151, 3.761 and 7.718 Å and the angles 90.00°, 124.47° and 90.00°. Symmetry generates all atoms from Ni at (0.000, 0.000, 0.000), Ni at (0.167, 0.500, 0.159), Ni at (0.179, 0.500, 0.677), Sn at (0.000, 0.000, 0.500), Pt at (0.023, 0.500, 0.263) and Pt at (0.164, 0.000, 0.920).

The calculation puts the mass density at 12.58 Mg/m³. For the formation enthalpy at 0 K, the calculation gives 0.131 eV/atom.

VASP calculation (PBE-GGA) on NiSnPt3 after structural relaxation.

The structure belongs to space group Cmcm (No. 63); the cell edges are 13.081, 10.152 and 5.526 Å and the angles 90.00°, 90.00° and 90.00°. Symmetry generates all atoms from Ni at (0.000, 0.001, 0.250), Ni at (0.000, 0.258, 0.250), Sn at (0.175, 0.366, 0.750), Pt at (0.135, 0.135, 0.001) and Pt at (0.172, 0.373, 0.250).

The calculation puts the mass density at 13.81 Mg/m³. For the formation enthalpy at 0 K, the calculation gives -0.086 eV/atom.

VASP calculation (PBE-GGA) on NiSnPt after structural relaxation.

The structure belongs to space group P3m1 (No. 156); the cell edges are 4.2829, 4.2829 and 3.0568 Å and the angles 90.00°, 90.00° and 120.00°. Symmetry generates all atoms from Ni at (0.0000, 0.0000, 0.0000), Sn at (0.6667, 0.3333, 0.8153) and Pt at (0.3333, 0.6667, 0.4303).

The calculation puts the mass density at 12.74 Mg/m³. For the formation enthalpy at 0 K, the calculation gives -0.159 eV/atom.

VASP calculation (PBE-GGA) on Ni3SnPt4 after structural relaxation.

The structure belongs to space group I4/mmm (No. 139); the cell edges are 3.963, 3.963 and 14.782 Å and the angles 90.00°, 90.00° and 90.00°. Symmetry generates all atoms from Ni at (0.000, 0.000, 0.000), Ni at (0.000, 0.000, 0.249), Sn at (0.000, 0.000, 0.500) and Pt at (0.000, 0.500, 0.132).

The calculation puts the mass density at 15.38 Mg/m³. For the formation enthalpy at 0 K, the calculation gives -0.214 eV/atom.

VASP calculation (PBE-GGA) on Ni14SnPt after structural relaxation.

The structure belongs to space group Amm2 (No. 38); the cell edges are 8.320, 5.172 and 8.820 Å and the angles 90.00°, 90.00° and 90.00°. Symmetry generates all atoms from Ni at (0.000, 0.000, 0.000), Ni at (0.000, 0.000, 0.500), Ni at (0.000, 0.250, 0.249), Ni at (0.237, 0.249, 0.420), Ni at (0.240, 0.000, 0.665), Ni at (0.243, 0.000, 0.166), Ni at (0.500, 0.250, 0.086), Sn at (0.500, 0.000, 0.836) and Pt at (0.500, 0.000, 0.336).

The calculation puts the mass density at 9.94 Mg/m³. For the formation enthalpy at 0 K, the calculation gives 0.002 eV/atom.

VASP calculation (PBE-GGA) on Ni2SnPt after structural relaxation.

The structure belongs to space group P4/mmm (No. 123); the cell edges are 3.248, 3.248 and 5.509 Å and the angles 90.00°, 90.00° and 90.00°. Symmetry generates all atoms from Ni at (0.000, 0.000, 0.250), Sn at (0.500, 0.500, 0.000) and Pt at (0.500, 0.500, 0.500).

The calculation puts the mass density at 12.32 Mg/m³. For the formation enthalpy at 0 K, the calculation gives -0.111 eV/atom.

VASP calculation (PBE-GGA) on NiSn2Pt2 after structural relaxation.

The structure belongs to space group I4/mmm (No. 139); the cell edges are 4.269, 4.269 and 11.485 Å and the angles 90.00°, 90.00° and 90.00°. Symmetry generates all atoms from Ni at (0.000, 0.000, 0.000), Sn at (0.000, 0.500, 0.250) and Pt at (0.000, 0.000, 0.389).

The calculation puts the mass density at 10.89 Mg/m³. For the formation enthalpy at 0 K, the calculation gives 0.217 eV/atom.

VASP calculation (PBE-GGA) on NiSn4Pt after structural relaxation.

The structure belongs to space group P2_1/c (No. 14); the cell edges are 6.949, 6.925 and 5.510 Å and the angles 90.00°, 90.53° and 90.00°. Symmetry generates all atoms from Ni at (0.000, 0.000, 0.000), Sn at (0.142, 0.144, 0.409), Sn at (0.341, 0.634, 0.428) and Pt at (0.500, 0.000, 0.500).

The calculation puts the mass density at 9.13 Mg/m³. For the formation enthalpy at 0 K, the calculation gives -0.226 eV/atom.

VASP calculation (PBE-GGA) on Ni2Sn2Pt after structural relaxation.

The structure belongs to space group P4/mbm (No. 127); the cell edges are 6.968, 6.968 and 3.301 Å and the angles 90.00°, 90.00° and 90.00°. Symmetry generates all atoms from Ni at (0.128, 0.372, 0.000), Sn at (0.172, 0.672, 0.500) and Pt at (0.000, 0.000, 0.000).

The calculation puts the mass density at 11.39 Mg/m³. For the formation enthalpy at 0 K, the calculation gives -0.190 eV/atom.

VASP calculation (PBE-GGA) on NiSn2Pt2 after structural relaxation.

The structure belongs to space group P4/mbm (No. 127); the cell edges are 7.065, 7.065 and 3.679 Å and the angles 90.00°, 90.00° and 90.00°. Symmetry generates all atoms from Ni at (0.000, 0.000, 0.000), Sn at (0.165, 0.335, 0.500) and Pt at (0.142, 0.642, 0.000).

The calculation puts the mass density at 12.41 Mg/m³. For the formation enthalpy at 0 K, the calculation gives -0.159 eV/atom.

Table of DFT total energy (eV for the cell shown), in record order: -33.6, -43.3, -111.5, -226.7, -16.3, -94.4, -181.9, -22.1, -49.6, -58.4, -53.1, -53.3